A geometry-optimized Mg30FeNiO32 structure, computed with PBE with a Hubbard U.

Geometry as CIF:
```
data_Mg30FeNiO32
_chemical_formula_sum 'Mg30 Fe1 Ni1 O32'
_cell_length_a 8.523
_cell_length_b 8.523
_cell_length_c 8.504
_cell_angle_alpha 90.00
_cell_angle_beta 90.00
_cell_angle_gamma 90.00
_symmetry_space_group_name_H-M 'P 4/m m m'
_symmetry_Int_Tables_number 123
_symmetry_space_group_name_Hall '-P 4 2'
loop_
_atom_site_label
_atom_site_type_symbol
_atom_site_fract_x
_atom_site_fract_y
_atom_site_fract_z
Mg1 Mg 0.000 0.000 0.000
Mg2 Mg 0.000 0.000 0.500
Mg3 Mg 0.000 0.250 0.250
Mg4 Mg 0.000 0.500 0.000
Mg5 Mg 0.000 0.500 0.500
Mg6 Mg 0.249 0.500 0.249
Mg7 Mg 0.250 0.250 0.500
Mg8 Mg 0.251 0.251 0.000
Fe1 Fe 0.500 0.500 0.500
Ni1 Ni 0.500 0.500 0.000
O1 O 0.000 0.000 0.250
O2 O 0.000 0.249 0.500
O3 O 0.000 0.250 0.000
O4 O 0.000 0.500 0.249
O5 O 0.244 0.500 0.500
O6 O 0.250 0.250 0.250
O7 O 0.250 0.500 0.000
O8 O 0.500 0.500 0.250
```

Results
Calculated volume: 617.8 Å³ per cell
Energy: -382.084 eV/f.u.